Computed, not measured: an optimized crystal structure of Ca2Ac3NdTe6 at the PBE level of DFT.

abc: 7.9854 7.9854 8.0370
angles: 99.54 99.54 120.07
With the nearest neighbours (Å) after each atom.
Element x y z (fractional)
Ca1 0.3328 0.6672 0.0000  6 Te 3.17-3.18
Ca2 0.6672 0.3328 0.0000  6 Te 3.17-3.18
Ac1 0.1660 0.8340 0.5000  6 Te 3.33-3.36
Ac2 0.8340 0.1660 0.5000  6 Te 3.33-3.36
Ac3 0.5000 0.5000 0.5000  6 Te 3.32-3.36
Nd1 0.0000 0.0000 0.0000  6 Te 3.21-3.22
Te1 0.9225 0.5856 0.7684  2 Ca 3.17, 1 Nd 3.21, 3 Ac 3.33-3.36
Te2 0.7401 0.7401 0.2323  2 Ca 3.18, 1 Nd 3.22, 3 Ac 3.32-3.35
Te3 0.0775 0.4144 0.2316  2 Ca 3.17, 1 Nd 3.21, 3 Ac 3.33-3.36
Te4 0.5856 0.9225 0.7684  2 Ca 3.17, 1 Nd 3.21, 3 Ac 3.33-3.36
Te5 0.2599 0.2599 0.7677  2 Ca 3.18, 1 Nd 3.22, 3 Ac 3.32-3.35
Te6 0.4144 0.0775 0.2316  2 Ca 3.17, 1 Nd 3.21, 3 Ac 3.33-3.36

Properties
- Formation energy from raw total energies: -1.51 eV/atom
- DOS at the Fermi energy: 6.54 states/eV/cell
- ρ: 6.6 g cm⁻³
- DFT total energy: -4.840 eV/atom
- Space group: No. 12

Computed, not measured: an optimized crystal structure of TlTe2Au at the PBE level of DFT.

abc: 6.2477 6.2477 6.2477
angles: 141.78 118.35 74.90
With the nearest neighbours (Å) after each atom.
Element x y z (fractional)
Tl1 0.7500 0.2500 0.5000  8 Te 3.66-3.79, 4 Au 3.80, 2 Tl 4.09
Te1 0.0719 0.0719 0.0000  2 Au 2.70
Te2 0.4281 0.4281 0.0000  2 Au 2.70
Au1 0.2500 0.7500 0.5000  4 Te 2.70

Properties
- Formation energy from raw total energies: -0.09 eV/atom
- DOS at the Fermi energy: 1.71 states/eV/cell
- ρ: 8.4 g cm⁻³
- DFT total energy: -3.075 eV/atom
- Space group: No. 71

Computed, not measured: an optimized crystal structure of Pm2Cu4Ge3Au at the PBE level of DFT.

abc: 4.2177 4.2177 10.1504
angles: 90.00 90.00 90.00
With the nearest neighbours (Å) after each atom.
Element x y z (fractional)
Pm1 0.5000 0.0000 0.2434  6 Ge 3.20-3.35, 8 Cu 3.21-3.25, 2 Au 3.35
Pm2 0.0000 0.5000 0.7566  6 Ge 3.20-3.35, 8 Cu 3.21-3.25, 2 Au 3.35
Cu1 0.5000 0.5000 0.0000  4 Ge 2.48
Cu2 0.0000 0.0000 0.0000  4 Ge 2.48
Cu3 0.5000 0.0000 0.6402  3 Ge 2.35-2.54, 2 Au 2.54
Cu4 0.0000 0.5000 0.3598  3 Ge 2.35-2.54, 2 Au 2.54
Ge1 0.0000 0.0000 0.5000  4 Cu 2.54
Ge2 0.5000 0.0000 0.8717  5 Cu 2.35-2.48
Ge3 0.0000 0.5000 0.1283  5 Cu 2.35-2.48
Au1 0.5000 0.5000 0.5000  4 Cu 2.54

Properties
- DOS at the Fermi energy: 6.28 states/eV/cell
- ρ: 8.8 g cm⁻³
- DFT total energy: -4.774 eV/atom
- Space group: No. 115

Computed, not measured: an optimized crystal structure of BaMg2Fe at the PBE level of DFT.

abc: 6.5651 6.5651 6.5651
angles: 150.77 130.60 58.43
With the nearest neighbours (Å) after each atom.
Element x y z (fractional)
Ba1 0.7500 0.2500 0.5000  4 Fe 3.20, 2 Ba 3.31, 4 Mg 3.58
Fe1 0.2500 0.7500 0.5000  4 Mg 2.83
Mg1 0.0496 0.0496 0.0000  2 Fe 2.83
Mg2 0.4504 0.4504 0.0000  2 Fe 2.83

Properties
- DOS at the Fermi energy: 3.96 states/eV/cell
- ρ: 3.9 g cm⁻³
- DFT total energy: -3.006 eV/atom
- Space group: No. 71

Computed, not measured: an optimized crystal structure of HRu at the PBE level of DFT.

abc: 2.7995 2.7995 8.8785
angles: 90.00 90.00 90.00
With the nearest neighbours (Å) after each atom.
Element x y z (fractional)
H1 0.0000 0.5000 0.0000  4 Ru 1.95, 4 H 1.98
H2 0.5000 0.0000 0.0000  4 Ru 1.95, 4 H 1.98
H3 0.5000 0.0000 0.5000  4 Ru 1.95, 4 H 1.98
H4 0.0000 0.5000 0.5000  4 Ru 1.95, 4 H 1.98
Ru1 0.0000 0.0000 0.8473  4 H 1.95
Ru2 0.0000 0.0000 0.1527  4 H 1.95
Ru3 0.5000 0.5000 0.3473  4 H 1.95
Ru4 0.5000 0.5000 0.6527  4 H 1.95

Properties
- DOS at the Fermi energy: 6.85 states/eV/cell
- ρ: 9.7 g cm⁻³
- DFT total energy: -6.136 eV/atom
- Space group: No. 139

Computed, not measured: an optimized crystal structure of Tm2Si4Ni3Ru at the PBE level of DFT.

abc: 3.9427 3.9427 9.6515
angles: 90.00 90.00 90.00
With the nearest neighbours (Å) after each atom.
Element x y z (fractional)
Tm1 0.5000 0.0000 0.2418  6 Ni 3.00-3.18, 8 Si 3.03-3.06, 2 Ru 3.18
Tm2 0.0000 0.5000 0.7582  6 Ni 3.00-3.18, 8 Si 3.03-3.06, 2 Ru 3.18
Si1 0.5000 0.5000 0.0000  4 Ni 2.32
Si2 0.0000 0.0000 0.0000  4 Ni 2.32
Si3 0.5000 0.0000 0.6358  3 Ni 2.30-2.37, 2 Ru 2.37
Si4 0.0000 0.5000 0.3642  3 Ni 2.30-2.37, 2 Ru 2.37
Ni1 0.0000 0.0000 0.5000  4 Si 2.37
Ni2 0.5000 0.0000 0.8737  5 Si 2.30-2.32
Ni3 0.0000 0.5000 0.1263  5 Si 2.30-2.32
Ru1 0.5000 0.5000 0.5000  4 Si 2.37

Properties
- Formation energy from raw total energies: -0.86 eV/atom
- DOS at the Fermi energy: 3.27 states/eV/cell
- ρ: 8.1 g cm⁻³
- DFT total energy: -6.589 eV/atom
- Space group: No. 115

- What is the DOS at the Fermi energy in the second record?
  1.71 states/eV/cell